Record 1
Crystalline NaMgSO4 at its relaxed geometry. Source: the Alexandria database, functional PBE-GGA.

Cell lengths 6.1221, 6.1221, 6.1221 Å; angles 120.71, 119.32, 89.98 degrees
Atoms (fractional coordinates):
Na: 0.5000 0.0000 0.0000
Na: 0.5000 0.5000 0.5000
Mg: 0.0000 0.0000 0.0000
Mg: 0.5000 0.0000 0.5000
S: 0.1486 0.3986 0.7500
S: 0.8514 0.6014 0.2500
O: 0.1497 0.7011 0.4486
O: 0.2374 0.2033 0.4659
O: 0.2374 0.7716 0.0341
O: 0.2476 0.2989 0.9486
O: 0.7524 0.7011 0.0514
O: 0.7626 0.2284 0.9659
O: 0.7626 0.7967 0.5341
O: 0.8503 0.2989 0.5514

## Properties
Crystal system: orthorhombic
Formation energy from raw total energies in eV per atom: -1.491
SG: Imma, No. 74


Record 2
Crystalline Na2MgSO6 at its relaxed geometry. Source: the Alexandria database, functional PBE-GGA.

Cell lengths 5.5679, 5.5679, 5.1824 Å; angles 90.00, 90.00, 120.00 degrees
Atoms (fractional coordinates):
Na: 0.3333 0.6667 0.4056
Na: 0.6667 0.3333 0.5944
Mg: 0.0000 0.0000 0.0000
S: 0.0000 0.0000 0.5000
O: 0.1388 0.2777 0.6895
O: 0.1388 0.8612 0.6895
O: 0.2777 0.1388 0.3105
O: 0.7223 0.8612 0.6895
O: 0.8612 0.1388 0.3105
O: 0.8612 0.7223 0.3105

## Properties
Crystal system: trigonal
Formation energy from raw total energies in eV per atom: -1.276
SG: P-3m1, No. 164


Record 3
Crystalline NaMgSb2O8 at its relaxed geometry. Source: the Alexandria database, functional PBE-GGA.

Cell lengths 5.5334, 5.5334, 6.3217 Å; angles 90.00, 90.00, 120.00 degrees
Atoms (fractional coordinates):
Na: 0.0000 0.0000 0.0000
Mg: 0.0000 0.0000 0.5000
Sb: 0.3333 0.6667 0.4499
Sb: 0.6667 0.3333 0.5501
O: 0.0393 0.3553 0.6448
O: 0.3160 0.9607 0.6448
O: 0.3333 0.6667 0.1258
O: 0.3553 0.3160 0.3552
O: 0.6447 0.6840 0.6448
O: 0.6667 0.3333 0.8742
O: 0.6840 0.0393 0.3552
O: 0.9607 0.6447 0.3552

## Properties
Crystal system: trigonal
Formation energy from raw total energies in eV per atom: -1.076
SG: P-3, No. 147


Record 4
Crystalline NaMg30SbO32 at its relaxed geometry. Source: the Alexandria database, functional PBE-GGA.

Cell lengths 8.6006, 8.6006, 8.6001 Å; angles 90.00, 90.00, 90.00 degrees
Atoms (fractional coordinates):
Na: 0.0000 0.0000 0.0000
Mg: 0.0000 0.0000 0.5000
Mg: 0.0000 0.2475 0.2497
Mg: 0.0000 0.2475 0.7503
Mg: 0.0000 0.5000 0.0000
Mg: 0.0000 0.5000 0.5000
Mg: 0.0000 0.7525 0.2497
Mg: 0.0000 0.7525 0.7503
Mg: 0.2415 0.2415 0.0000
Mg: 0.2415 0.7585 0.0000
Mg: 0.2429 0.5000 0.2558
Mg: 0.2429 0.5000 0.7442
Mg: 0.2475 0.0000 0.2497
Mg: 0.2475 0.0000 0.7503
Mg: 0.2484 0.2484 0.5000
Mg: 0.2484 0.7516 0.5000
Mg: 0.5000 0.0000 0.0000
Mg: 0.5000 0.0000 0.5000
Mg: 0.5000 0.2429 0.2558
Mg: 0.5000 0.2429 0.7442
Mg: 0.5000 0.5000 0.5000
Mg: 0.5000 0.7571 0.2558
Mg: 0.5000 0.7571 0.7442
Mg: 0.7525 0.0000 0.2497
Mg: 0.7525 0.0000 0.7503
Mg: 0.7516 0.2484 0.5000
Mg: 0.7516 0.7516 0.5000
Mg: 0.7571 0.5000 0.2558
Mg: 0.7571 0.5000 0.7442
Mg: 0.7585 0.2415 0.0000
Mg: 0.7585 0.7585 0.0000
Sb: 0.5000 0.5000 0.0000
O: 0.0000 0.0000 0.2635
O: 0.0000 0.0000 0.7365
O: 0.0000 0.2523 0.5000
O: 0.0000 0.2620 0.0000
O: 0.0000 0.5000 0.2541
O: 0.0000 0.5000 0.7459
O: 0.0000 0.7380 0.0000
O: 0.0000 0.7477 0.5000
O: 0.2395 0.5000 0.0000
O: 0.2495 0.5000 0.5000
O: 0.2510 0.2510 0.2495
O: 0.2510 0.2510 0.7505
O: 0.2510 0.7490 0.2495
O: 0.2510 0.7490 0.7505
O: 0.2523 0.0000 0.5000
O: 0.2620 0.0000 0.0000
O: 0.5000 0.0000 0.2541
O: 0.5000 0.0000 0.7459
O: 0.5000 0.2395 0.0000
O: 0.5000 0.2495 0.5000
O: 0.5000 0.5000 0.2627
O: 0.5000 0.5000 0.7373
O: 0.5000 0.7505 0.5000
O: 0.5000 0.7605 0.0000
O: 0.7380 0.0000 0.0000
O: 0.7477 0.0000 0.5000
O: 0.7490 0.2510 0.2495
O: 0.7490 0.2510 0.7505
O: 0.7490 0.7490 0.2495
O: 0.7490 0.7490 0.7505
O: 0.7505 0.5000 0.5000
O: 0.7605 0.5000 0.0000

## Properties
Crystal system: tetragonal
Formation energy from raw total energies in eV per atom: -2.584
SG: P4/mmm, No. 123


Record 5
Crystalline NaMgSbO4 at its relaxed geometry. Source: the Alexandria database, functional PBE-GGA.

Cell lengths 5.7523, 5.7523, 5.7523 Å; angles 125.45, 125.45, 80.79 degrees
Atoms (fractional coordinates):
Na: 0.0000 0.0000 0.0000
Mg: 0.2500 0.7500 0.5000
Sb: 0.5000 0.5000 0.0000
O: 0.2131 0.6332 0.0832
O: 0.3668 0.4500 0.5799
O: 0.5500 0.1299 0.9168
O: 0.8701 0.7869 0.4201

## Properties
Crystal system: tetragonal
Formation energy from raw total energies in eV per atom: -1.776
SG: I-4, No. 82


Record 6
Crystalline NaMg6SbO8 at its relaxed geometry. Source: the Alexandria database, functional PBE-GGA.

Cell lengths 4.4098, 4.4098, 8.9061 Å; angles 90.00, 90.00, 90.00 degrees
Atoms (fractional coordinates):
Na: 0.0000 0.0000 0.0000
Mg: 0.0000 0.0000 0.5000
Mg: 0.0000 0.5000 0.2636
Mg: 0.0000 0.5000 0.7364
Mg: 0.5000 0.0000 0.2636
Mg: 0.5000 0.0000 0.7364
Mg: 0.5000 0.5000 0.5000
Sb: 0.5000 0.5000 0.0000
O: 0.0000 0.0000 0.2686
O: 0.0000 0.0000 0.7314
O: 0.0000 0.5000 0.0000
O: 0.0000 0.5000 0.5000
O: 0.5000 0.0000 0.0000
O: 0.5000 0.0000 0.5000
O: 0.5000 0.5000 0.2653
O: 0.5000 0.5000 0.7347

## Properties
ΔE to the lowest computed polymorph in eV per atom: 0.000
Crystal system: tetragonal
Formation energy from raw total energies in eV per atom: -2.250
SG: P4/mmm, No. 123


Record 7
Crystalline NaMg6SbO8 at its relaxed geometry. Source: the Alexandria database, functional PBE-GGA.

Cell lengths 4.4358, 4.4358, 8.9026 Å; angles 90.00, 90.00, 90.00 degrees
Atoms (fractional coordinates):
Na: 0.0000 0.0000 0.0000
Mg: 0.0000 0.5000 0.2278
Mg: 0.0000 0.5000 0.7722
Mg: 0.5000 0.0000 0.2278
Mg: 0.5000 0.0000 0.7722
Mg: 0.5000 0.5000 0.0000
Mg: 0.5000 0.5000 0.5000
Sb: 0.0000 0.0000 0.5000
O: 0.0000 0.0000 0.2507
O: 0.0000 0.0000 0.7493
O: 0.0000 0.5000 0.0000
O: 0.0000 0.5000 0.5000
O: 0.5000 0.0000 0.0000
O: 0.5000 0.0000 0.5000
O: 0.5000 0.5000 0.2527
O: 0.5000 0.5000 0.7473

## Properties
ΔE to the lowest computed polymorph in eV per atom: 0.054
Crystal system: tetragonal
Formation energy from raw total energies in eV per atom: -2.196
SG: P4/mmm, No. 123


Record 8
Crystalline NaMgScO3 at its relaxed geometry. Source: the Alexandria database, functional PBE-GGA.

Cell lengths 6.5801, 3.1852, 9.0765 Å; angles 90.00, 94.27, 90.00 degrees
Atoms (fractional coordinates):
Na: 0.2246 0.2500 0.2421
Na: 0.7754 0.7500 0.7579
Mg: 0.3944 0.7500 0.8989
Mg: 0.6056 0.2500 0.1011
Sc: 0.1404 0.2500 0.6106
Sc: 0.8596 0.7500 0.3894
O: 0.1593 0.7500 0.4486
O: 0.1590 0.7500 0.7545
O: 0.4287 0.7500 0.1230
O: 0.5713 0.2500 0.8770
O: 0.8410 0.2500 0.2455
O: 0.8407 0.2500 0.5514

## Properties
Crystal system: monoclinic
Formation energy from raw total energies in eV per atom: -2.582
SG: P2_1/m, No. 11


Record 9
Crystalline NaMgSe2O8 at its relaxed geometry. Source: the Alexandria database, functional PBE-GGA.

Cell lengths 8.2053, 8.2053, 8.2053 Å; angles 36.10, 36.10, 36.10 degrees
Atoms (fractional coordinates):
Na: 0.0000 0.0000 0.0000
Mg: 0.5000 0.5000 0.5000
Se: 0.2425 0.2425 0.2425
Se: 0.7575 0.7575 0.7575
O: 0.1011 0.4733 0.7615
O: 0.2385 0.8989 0.5267
O: 0.3158 0.3158 0.3158
O: 0.4733 0.7615 0.1011
O: 0.5267 0.2385 0.8989
O: 0.6842 0.6842 0.6842
O: 0.7615 0.1011 0.4733
O: 0.8989 0.5267 0.2385

## Properties
Crystal system: trigonal
Formation energy from raw total energies in eV per atom: -1.052
SG: R-3, No. 148